Hf3NbH7 | PBE | relaxed

Cell: 5.329 5.329 7.059 Å, 90.00 90.00 98.50°
Sites, in units of the cell vectors:
1 H 0.384 0.384 0.750
2 Hf 0.004 0.498 0.750
3 H 0.875 0.125 0.250
4 H 0.620 0.869 0.996
5 H 0.875 0.125 0.750
6 Nb 0.500 0.500 0.000
7 H 0.380 0.131 0.004
8 H 0.125 0.875 0.750
9 H 0.131 0.380 0.004
10 Hf 0.000 0.000 0.500
11 H 0.131 0.380 0.496
12 H 0.869 0.620 0.996
13 Hf 0.498 0.004 0.750
14 Nb 0.500 0.500 0.500
15 H 0.620 0.869 0.504
16 Hf 0.000 0.000 0.000
17 Hf 0.502 0.996 0.250
18 H 0.616 0.616 0.250
19 H 0.380 0.131 0.496
20 H 0.125 0.875 0.250
21 Hf 0.996 0.502 0.250
22 H 0.869 0.620 0.504

crystal system	orthorhombic
calculated volume	9.01	Å³ per atom
uncorrected energy	-6.17	eV/atom
Fermi-level density of states	2.533	states/eV/f.u.

***

Hf5NbH8 | PBE | relaxed

Cell: 5.854 5.854 5.854 Å, 104.56 119.83 104.56°
Sites, in units of the cell vectors:
1 H 0.199 0.246 0.422
2 H 0.176 0.754 0.953
3 Hf 0.368 0.110 0.963
4 H 0.617 0.318 0.840
5 H 0.522 0.682 0.299
6 H 0.701 0.223 0.383
7 Hf 0.853 0.890 0.258
8 Hf 0.500 0.000 0.500
9 Nb 0.250 0.500 0.750
10 Hf 0.037 0.405 0.147
11 H 0.047 0.223 0.801
12 H 0.160 0.777 0.478
13 H 0.578 0.777 0.824
14 Hf 0.742 0.595 0.632

crystal system	tetragonal
calculated volume	10.75	Å³ per atom
uncorrected energy	-6.27	eV/atom
Fermi-level density of states	7.708	states/eV/f.u.

***

Hf3NbH8 | PBE | relaxed

Cell: 4.801 4.801 5.563 Å, 115.57 115.57 90.00°
Sites, in units of the cell vectors:
1 H 0.630 0.124 0.754
2 H 0.630 0.630 0.754
3 Nb 0.000 0.000 0.000
4 H 0.370 0.876 0.246
5 H 0.876 0.370 0.246
6 H 0.876 0.876 0.246
7 H 0.124 0.124 0.754
8 H 0.124 0.630 0.754
9 Hf 0.250 0.750 0.500
10 Hf 0.500 0.500 0.000
11 H 0.370 0.370 0.246
12 Hf 0.750 0.250 0.500

crystal system	tetragonal
calculated volume	8.47	Å³ per atom
uncorrected energy	-6.00	eV/atom
Fermi-level density of states	3.407	states/eV/f.u.